[1]
A plane-wave DFT calculation with PBE was carried out for a relaxed Ho3AsP2Ir9 crystal.

Lattice parameters (Å, degrees): 6.122 6.122 8.834 90.00 90.00 120.00
Fractional coordinates of all 15 atoms:
1 As 0.000 0.000 0.500
2 Ir 0.854 0.146 0.721
3 Ir 0.146 0.854 0.279
4 Ir 0.146 0.293 0.279
5 Ir 0.707 0.854 0.279
6 Ir 0.854 0.707 0.721
7 Ir 0.500 0.500 0.000
8 Ir 0.500 0.000 0.000
9 Ir 0.293 0.146 0.721
10 Ir 0.000 0.500 0.000
11 Ho 0.333 0.667 0.711
12 Ho 0.000 0.000 0.000
13 Ho 0.667 0.333 0.289
14 P 0.333 0.667 0.172
15 P 0.667 0.333 0.828

Calculated values
- M_tot: 0.0 μB per formula unit
- V: 286.8 Å³ per cell
- Energy: -7.62 eV/atom

=====

[2]
A plane-wave DFT calculation with PBE was carried out for a relaxed HoAs2IrRh5 crystal.

Lattice parameters (Å, degrees): 3.903 3.903 11.265 90.00 90.00 90.00
Fractional coordinates of all 9 atoms:
1 As 0.000 0.000 0.712
2 As 0.000 0.000 0.288
3 Rh 0.500 0.000 0.150
4 Rh 0.000 0.500 0.150
5 Rh 0.500 0.000 0.850
6 Rh 0.000 0.500 0.850
7 Rh 0.000 0.000 0.500
8 Ho 0.500 0.500 0.500
9 Ir 0.000 0.000 0.000

Calculated values
- M_tot: 0.0 μB per formula unit
- V: 171.6 Å³ per cell
- Energy: -6.71 eV/atom

=====

[3]
A plane-wave DFT calculation with PBE was carried out for a relaxed Ho4AsIrSe2 crystal.

Lattice parameters (Å, degrees): 4.041 7.075 7.198 108.78 90.00 90.00
Fractional coordinates of all 8 atoms:
1 Ho 0.500 0.744 0.768
2 Ho 0.500 0.256 0.232
3 Ho 0.000 0.267 0.772
4 Ho 0.000 0.733 0.228
5 Se 0.000 0.500 0.500
6 Se 0.500 0.000 0.500
7 As 0.000 0.000 0.000
8 Ir 0.500 0.500 0.000

Calculated values
- M_tot: 0.0 μB per formula unit
- V: 194.8 Å³ per cell
- Formation energy from raw total energies: -1.44 eV/atom
- Energy: -6.29 eV/atom

=====

[4]
A plane-wave DFT calculation with PBE was carried out for a relaxed Ho6Te3AsIr2 crystal.

Lattice parameters (Å, degrees): 7.212 7.212 7.535 99.28 99.28 120.06
Fractional coordinates of all 12 atoms:
1 Ho 0.586 0.931 0.790
2 Ho 0.727 0.727 0.209
3 Ho 0.273 0.273 0.791
4 Ho 0.931 0.586 0.790
5 Ho 0.414 0.069 0.210
6 Ho 0.069 0.414 0.210
7 Te 0.837 0.163 0.500
8 Te 0.500 0.500 0.500
9 Te 0.163 0.837 0.500
10 Ir 0.333 0.667 0.000
11 Ir 0.667 0.333 0.000
12 As 0.000 0.000 0.000

Calculated values
- M_tot: 0.0 μB per formula unit
- V: 321.1 Å³ per cell
- Formation energy from raw total energies: -1.17 eV/atom
- Energy: -6.11 eV/atom

=====

[5]
A plane-wave DFT calculation with PBE was carried out for a relaxed KHoAs crystal.

Lattice parameters (Å, degrees): 4.332 4.332 7.494 90.00 90.00 120.00
Fractional coordinates of all 3 atoms:
1 As 0.667 0.333 0.385
2 Ho 0.333 0.667 0.538
3 K 0.000 0.000 0.077

Calculated values
- M_tot: 0.0 μB per formula unit
- V: 121.8 Å³ per cell
- Energy: -3.99 eV/atom

=====

[6]
A plane-wave DFT calculation with PBE was carried out for a relaxed KHo3As4O12 crystal.

Lattice parameters (Å, degrees): 7.235 7.235 7.235 104.22 104.22 104.22
Fractional coordinates of all 20 atoms:
1 As 0.079 0.500 0.921
2 As 0.921 0.079 0.500
3 As 0.500 0.921 0.079
4 As 0.500 0.500 0.500
5 O 0.924 0.500 0.076
6 O 0.670 0.500 0.330
7 O 0.743 0.984 0.616
8 O 0.984 0.616 0.743
9 O 0.257 0.384 0.016
10 O 0.616 0.743 0.984
11 O 0.500 0.076 0.924
12 O 0.500 0.330 0.670
13 O 0.016 0.257 0.384
14 O 0.330 0.670 0.500
15 O 0.076 0.924 0.500
16 O 0.384 0.016 0.257
17 K 0.000 0.000 0.000
18 Ho 0.000 0.568 0.432
19 Ho 0.432 0.000 0.568
20 Ho 0.568 0.432 0.000

Calculated values
- M_tot: 0.0 μB per formula unit
- V: 336.4 Å³ per cell
- Formation energy from raw total energies: -1.86 eV/atom
- Energy: -6.51 eV/atom

=====

[7]
A plane-wave DFT calculation with PBE was carried out for a relaxed K3HoAs2O8 crystal.

Lattice parameters (Å, degrees): 5.914 5.914 7.720 90.00 90.00 120.00
Fractional coordinates of all 14 atoms:
1 K 0.000 0.000 0.000
2 K 0.333 0.667 0.697
3 K 0.667 0.333 0.303
4 O 0.824 0.647 0.671
5 O 0.176 0.824 0.329
6 O 0.176 0.353 0.329
7 O 0.824 0.176 0.671
8 O 0.333 0.667 0.027
9 O 0.353 0.176 0.671
10 O 0.647 0.824 0.329
11 O 0.667 0.333 0.973
12 Ho 0.000 0.000 0.500
13 As 0.667 0.333 0.756
14 As 0.333 0.667 0.244

Calculated values
- M_tot: 0.0 μB per formula unit
- V: 233.8 Å³ per cell
- Formation energy from raw total energies: -2.02 eV/atom
- Energy: -6.08 eV/atom

=====

[8]
A plane-wave DFT calculation with PBE was carried out for a relaxed KHoAsO4 crystal.

Lattice parameters (Å, degrees): 6.468 6.689 6.689 62.43 61.08 61.08
Fractional coordinates of all 14 atoms:
1 O 0.749 0.269 0.769
2 O 0.251 0.731 0.231
3 O 0.752 0.702 0.794
4 O 0.248 0.706 0.798
5 O 0.752 0.294 0.202
6 O 0.248 0.298 0.206
7 O 0.213 0.269 0.769
8 O 0.787 0.731 0.231
9 K 0.500 0.000 0.500
10 K 0.000 0.000 0.500
11 Ho 0.000 0.500 0.500
12 Ho 0.000 0.000 0.000
13 As 0.362 0.388 0.888
14 As 0.638 0.612 0.112

Calculated values
- M_tot: 0.0 μB per formula unit
- V: 211.6 Å³ per cell
- Formation energy from raw total energies: -1.91 eV/atom
- Energy: -6.22 eV/atom